Entry 1:
Compound: Nd3InTe6
Source: the Alexandria database
Functional: PBE
Structure: relaxed

The structure in CIF format:
```
data_Nd3InTe6
_space_group_name_H-M_alt 'C m c 21'
_space_group_IT_number 36
_cell_length_a 12.418
_cell_length_b 15.368
_cell_length_c 7.524
_cell_angle_alpha 90.00
_cell_angle_beta 90.00
_cell_angle_gamma 90.00
loop_
_space_group_symop_operation_xyz
'x,y,z'
'-x,-y,z+1/2'
'-x,y,z'
'x,-y,z+1/2'
'x+1/2,y+1/2,z'
'-x+1/2,-y+1/2,z+1/2'
'-x+1/2,y+1/2,z'
'x+1/2,-y+1/2,z+1/2'
loop_
_atom_site_label
_atom_site_type_symbol
_atom_site_fract_x
_atom_site_fract_y
_atom_site_fract_z
Nd1 Nd 0.000 0.093 0.000
Nd2 Nd 0.182 0.404 0.888
In1 In 0.000 0.295 0.361
Te1 Te 0.000 0.276 0.733
Te2 Te 0.000 0.465 0.200
Te3 Te 0.163 0.038 0.697
Te4 Te 0.175 0.229 0.159
```

## Properties
Its formation energy without anion corrections is -1.15 eV per atom. The value obtained for the raw total energy is -4.74 eV per atom.

***

Entry 2:
Compound: Nd3InTe
Source: the Alexandria database
Functional: PBE
Structure: relaxed

The structure in CIF format:
```
data_Nd3InTe
_space_group_name_H-M_alt 'P n m a'
_space_group_IT_number 62
_cell_length_a 8.070
_cell_length_b 4.754
_cell_length_c 16.923
_cell_angle_alpha 90.00
_cell_angle_beta 90.00
_cell_angle_gamma 90.00
loop_
_space_group_symop_operation_xyz
'x,y,z'
'-x,-y,-z'
'-x+1/2,-y,z+1/2'
'x+1/2,y,-z+1/2'
'x+1/2,-y+1/2,-z+1/2'
'-x+1/2,y+1/2,z+1/2'
'-x,y+1/2,-z'
'x,-y+1/2,z'
loop_
_atom_site_label
_atom_site_type_symbol
_atom_site_fract_x
_atom_site_fract_y
_atom_site_fract_z
Nd1 Nd 0.004 0.250 0.114
Nd2 Nd 0.128 0.250 0.554
Nd3 Nd 0.198 0.750 0.263
In1 In 0.075 0.750 0.688
Te1 Te 0.212 0.250 0.953
```

## Properties
Its formation energy without anion corrections is -0.73 eV per atom. The value obtained for the raw total energy is -4.76 eV per atom. As for the energy above the most stable polymorph in this dataset: 0.00 eV per formula unit.

***

Entry 3:
Compound: Nd3InTe
Source: the Alexandria database
Functional: PBE
Structure: relaxed

The structure in CIF format:
```
data_Nd3InTe
_space_group_name_H-M_alt 'P 1 m 1'
_space_group_IT_number 6
_cell_length_a 8.718
_cell_length_b 4.504
_cell_length_c 9.365
_cell_angle_alpha 90.00
_cell_angle_beta 112.33
_cell_angle_gamma 90.00
loop_
_space_group_symop_operation_xyz
'x,y,z'
'x,-y,z'
loop_
_atom_site_label
_atom_site_type_symbol
_atom_site_fract_x
_atom_site_fract_y
_atom_site_fract_z
Nd1 Nd 0.000 0.000 0.000
Nd2 Nd 0.004 0.500 0.324
Nd3 Nd 0.166 0.000 0.693
Nd4 Nd 0.381 0.000 0.344
Nd5 Nd 0.553 0.000 0.062
Nd6 Nd 0.778 0.500 0.649
In1 In 0.266 0.500 0.020
In2 In 0.793 0.000 0.419
Te1 Te 0.374 0.500 0.584
Te2 Te 0.743 0.500 0.976
```

## Properties
Its formation energy without anion corrections is -0.64 eV per atom. The value obtained for the raw total energy is -4.67 eV per atom. As for the energy above the most stable polymorph in this dataset: 0.45 eV per formula unit.